A plane-wave DFT calculation with PBE was carried out for a relaxed structure of ZnCoOs2.

```
4
Lattice="-2.537 0.494 -0.604 -0.777 -1.420 2.104 0.197 6.253 4.294" Properties=species:S:1:pos:R:3 pbc="T T T"
Co -1.509 4.227 3.970
Os 0.193 6.139 4.215
Os 0.102 3.241 2.225
Zn -1.608 1.100 1.823
```

Properties
Calculated formation energy (eV per atom): 0.30
Uncorrected energy (eV per atom): -7.405
Crystal system: tetragonal